[1]
The following is a SCAN calculation of a PBEsol-optimized structure of Li2TaSi, from the Alexandria database.

The total magnetization comes out at 0.00 μB/cell. Its formation energy (no corrections) is -0.001 eV per atom. For the energy, the calculation gives -162.767 eV/cell. For the density of states at the Fermi level, the calculation gives 3.3 states/eV per cell.

The space group is Immm (No. 71) and the conventional cell measures 2.702, 4.525 and 10.057 Å, with angles of 90.00, 90.00 and 90.00 degrees. The asymmetric unit holds Li at (0.000, 0.000, 0.223), Ta at (0.000, 0.500, 0.000) and Si at (0.000, 0.500, 0.500).


[2]
The following is a SCAN calculation of a PBEsol-optimized structure of ZrReSi2, from the Alexandria database.

The total magnetization comes out at 0.00 μB/cell. Its formation energy (no corrections) is -0.144 eV per atom. For the energy, the calculation gives -244.807 eV/cell. For the density of states at the Fermi level, the calculation gives 4.4 states/eV per cell.

The space group is I-4m2 (No. 119) and the conventional cell measures 3.828, 3.828 and 8.265 Å, with angles of 90.00, 90.00 and 90.00 degrees. The asymmetric unit holds Zr at (0.000, 0.000, 0.000), Re at (0.000, 0.500, 0.250), Si at (0.000, 0.000, 0.500) and Si at (0.000, 0.500, 0.750).


[3]
The following is a SCAN calculation of a PBEsol-optimized structure of InTe2PbN, from the Alexandria database.

The total magnetization comes out at 2.10 μB/cell. Its formation energy (no corrections) is 0.866 eV per atom. For the energy, the calculation gives -188.631 eV/cell. For the density of states at the Fermi level, the calculation gives 2.7 states/eV per cell.

The space group is P4/mmm (No. 123) and the conventional cell measures 5.879, 5.879 and 4.274 Å, with angles of 90.00, 90.00 and 90.00 degrees. The asymmetric unit holds In at (0.000, 0.000, 0.000), Te at (0.000, 0.500, 0.500), Pb at (0.500, 0.500, 0.500) and N at (0.500, 0.500, 0.000).


[4]
The following is a SCAN calculation of a PBEsol-optimized structure of Sr3SbAs, from the Alexandria database.

The total magnetization comes out at 0.00 μB/cell. Its formation energy (no corrections) is -1.003 eV per atom. For the energy, the calculation gives -129.291 eV/cell.

The space group is Pm-3m (No. 221) and the conventional cell measures 5.763, 5.763 and 5.763 Å, with angles of 90.00, 90.00 and 90.00 degrees. The asymmetric unit holds Sr at (0.000, 0.000, 0.500), Sb at (0.500, 0.500, 0.500) and As at (0.000, 0.000, 0.000).


[5]
The following is a SCAN calculation of a PBEsol-optimized structure of SrRuSe2, from the Alexandria database.

The total magnetization comes out at 1.27 μB/cell. Its formation energy (no corrections) is -0.482 eV per atom. For the energy, the calculation gives -99.185 eV/cell. For the density of states at the Fermi level, the calculation gives 2.4 states/eV per cell.

The space group is P4mm (No. 99) and the conventional cell measures 3.697, 3.697 and 6.295 Å, with angles of 90.00, 90.00 and 90.00 degrees. The asymmetric unit holds Sr at (0.000, 0.000, 0.000), Ru at (0.500, 0.500, 0.399), Se at (0.000, 0.000, 0.478) and Se at (0.500, 0.500, 0.795).


[6]
The following is a SCAN calculation of a PBEsol-optimized structure of LaInRh2, from the Alexandria database.

For the energy of formation, the calculation gives -0.637 eV per atom. The total magnetization comes out at 0.00 μB/cell. For the energy, the calculation gives -146.581 eV/cell. For the density of states at the Fermi level, the calculation gives 0.7 states/eV per cell.

The space group is P4/mmm (No. 123) and the conventional cell measures 4.553, 4.553 and 3.619 Å, with angles of 90.00, 90.00 and 90.00 degrees. The asymmetric unit holds La at (0.000, 0.000, 0.000), In at (0.500, 0.500, 0.000) and Rh at (0.000, 0.500, 0.500).


[7]
The following is a SCAN calculation of a PBEsol-optimized structure of MgPW2, from the Alexandria database.

For the energy of formation, the calculation gives 0.290 eV per atom. The total magnetization comes out at 0.00 μB/cell. For the energy, the calculation gives -307.179 eV/cell. For the density of states at the Fermi level, the calculation gives 4.6 states/eV per cell.

The space group is Immm (No. 71) and the conventional cell measures 3.033, 4.609 and 8.845 Å, with angles of 90.00, 90.00 and 90.00 degrees. The asymmetric unit holds Mg at (0.000, 0.000, 0.000), P at (0.000, 0.000, 0.500) and W at (0.000, 0.500, 0.214).


[8]
The following is a SCAN calculation of a PBEsol-optimized structure of Hf6CCl14, from the Alexandria database.

The total magnetization comes out at 0.00 μB/cell. Its formation energy (no corrections) is -1.926 eV per atom. For the energy, the calculation gives -2153.136 eV/cell.

The space group is Cmce (No. 64) and the conventional cell measures 13.877, 12.471 and 11.293 Å, with angles of 90.00, 90.00 and 90.00 degrees. The asymmetric unit holds Hf at (0.000, 0.146, 0.106), Hf at (0.115, 0.069, 0.883), C at (0.000, 0.000, 0.000), Cl at (0.000, 0.158, 0.737), Cl at (0.124, 0.089, 0.250), Cl at (0.125, 0.242, 0.991), Cl at (0.249, 0.000, 0.500) and Cl at (0.250, 0.151, 0.750).


Which value of energy does entry 8 give? -2153.136 eV/cell


Which formula does entry 5 have? SrRuSe2